No. 1
Material: Ca3TcSb
Method: DFT, GGA-PBEsol
State: optimized geometry

Structure (POSCAR):
```
Ca3TcSb
1.0
-3.959 1.965 2.729
0.452 -3.867 3.439
3.333 2.858 2.776
Sb Tc Ca
1 1 3
Direct
0.500 0.500 0.500
0.000 0.000 0.000
0.500 0.000 0.000
0.000 0.000 0.500
0.000 0.500 0.000
```

The value obtained for the total energy is -4.0896 eV per atom. The calculation puts the density of states at the Fermi level at 6.2 states/eV/cell. The value obtained for the uncorrected formation energy is 0.355 eV per atom.

=====

No. 2
Material: CaTc2Sb
Method: DFT, GGA-PBEsol
State: optimized geometry

Structure (POSCAR):
```
CaTc2Sb
1.0
-1.127 3.476 -2.847
1.229 -0.170 -4.463
-3.222 -0.633 -3.267
Tc Ca Sb
2 1 1
Direct
0.750 0.750 0.750
0.000 0.000 0.000
0.500 0.500 0.500
0.250 0.250 0.250
```

The value obtained for the total energy is -6.9322 eV per atom. The calculation puts the density of states at the Fermi level at 5.0 states/eV/cell. The value obtained for the uncorrected formation energy is 0.374 eV per atom.

=====

No. 3
Material: CaTc2Sb
Method: DFT, GGA-PBEsol
State: optimized geometry

Structure (POSCAR):
```
CaTc2Sb
1.0
3.368 0.000 0.000
0.000 3.368 0.000
0.000 0.000 6.631
Tc Sb Ca
2 1 1
Direct
0.000 0.000 0.700
0.000 0.000 0.300
0.500 0.500 0.500
0.500 0.500 0.000
```

The value obtained for the total energy is -6.9150 eV per atom. The calculation puts the density of states at the Fermi level at 6.0 states/eV/cell. The value obtained for the uncorrected formation energy is 0.391 eV per atom.

=====

No. 4
Material: CaTc2Sb
Method: DFT, GGA-PBEsol
State: optimized geometry

Structure (POSCAR):
```
CaTc2Sb
1.0
3.150 0.000 -0.002
0.000 4.768 0.000
-0.332 0.000 5.188
Tc Ca Sb
2 1 1
Direct
0.949 0.000 0.787
0.051 0.000 0.213
0.500 0.500 0.000
0.000 0.500 0.500
```

The value obtained for the total energy is -6.9081 eV per atom. The calculation puts the density of states at the Fermi level at 3.3 states/eV/cell. The value obtained for the uncorrected formation energy is 0.398 eV per atom.

=====

No. 5
Material: CaTiTc2Sb
Method: DFT, GGA-PBEsol
State: optimized geometry

Structure (POSCAR):
```
CaTiTc2Sb
1.0
-2.512 3.192 2.045
-0.748 -2.846 3.526
3.755 1.611 2.097
Ca Ti Sb Tc
1 1 1 2
Direct
0.000 0.000 0.000
0.500 0.000 0.000
0.500 0.500 0.500
0.000 0.000 0.500
0.000 0.500 0.000
```

The value obtained for the total energy is -5.5359 eV per atom. The calculation puts the density of states at the Fermi level at 6.3 states/eV/cell. The value obtained for the uncorrected formation energy is 1.973 eV per atom.

=====

No. 6
Material: CaSb2Te
Method: DFT, GGA-PBEsol
State: optimized geometry

Structure (POSCAR):
```
CaSb2Te
1.0
4.533 0.000 0.000
0.000 4.533 0.000
-2.267 -2.267 5.286
Ca Sb Te
1 2 1
Direct
0.250 0.750 0.500
0.000 0.000 0.000
0.750 0.250 0.500
0.500 0.500 0.000
```

The value obtained for the total energy is -4.0891 eV per atom. The calculation puts the density of states at the Fermi level at 2.8 states/eV/cell. The value obtained for the uncorrected formation energy is -0.396 eV per atom.

=====

No. 7
Material: CaSbTe2
Method: DFT, GGA-PBEsol
State: optimized geometry

Structure (POSCAR):
```
CaSbTe2
1.0
-0.289 -4.529 0.669
3.281 -2.771 -1.612
4.641 -1.744 5.920
Te Sb Ca
2 1 1
Direct
0.989 0.989 0.034
0.756 0.756 0.731
0.262 0.262 0.213
0.493 0.493 0.522
```

The value obtained for the total energy is -3.8509 eV per atom. The calculation puts the density of states at the Fermi level at 3.0 states/eV/cell. The value obtained for the uncorrected formation energy is -0.415 eV per atom.

=====

No. 8
Material: CaSbTe2
Method: DFT, GGA-PBEsol
State: optimized geometry

Structure (POSCAR):
```
CaSbTe2
1.0
-1.687 -3.484 1.349
3.733 -1.920 -0.291
0.459 4.573 6.155
Te Ca Sb
2 1 1
Direct
0.714 0.214 0.428
0.965 0.965 0.930
0.540 0.540 0.080
0.281 0.781 0.562
```

The value obtained for the total energy is -4.0739 eV per atom. The calculation puts the density of states at the Fermi level at 1.5 states/eV/cell. The value obtained for the uncorrected formation energy is -0.638 eV per atom.

=====

No. 9
Material: CaSbTe2
Method: DFT, GGA-PBEsol
State: optimized geometry

Structure (POSCAR):
```
CaSbTe2
1.0
4.445 0.000 0.000
0.000 4.445 0.000
0.000 0.000 6.282
Te Sb Ca
2 1 1
Direct
0.000 0.000 0.500
0.500 0.500 0.000
0.500 0.500 0.500
0.000 0.000 0.000
```

The value obtained for the total energy is -4.2293 eV per atom. The calculation puts the density of states at the Fermi level at 1.7 states/eV/cell. The value obtained for the uncorrected formation energy is -0.794 eV per atom.

=====

No. 10
Material: CaSbTe
Method: DFT, GGA-PBEsol
State: optimized geometry

Structure (POSCAR):
```
CaSbTe
1.0
-2.467 0.231 2.886
-3.909 -0.351 -3.313
2.011 -4.254 2.059
Sb Ca Te
1 1 1
Direct
0.659 0.333 0.667
0.035 0.000 0.000
0.306 0.667 0.333
```

The value obtained for the total energy is -3.8205 eV per atom. The calculation puts the density of states at the Fermi level at 2.1 states/eV/cell. The value obtained for the uncorrected formation energy is -0.415 eV per atom.

=====

No. 11
Material: CaSb2Te
Method: DFT, GGA-PBEsol
State: optimized geometry

Structure (POSCAR):
```
CaSb2Te
1.0
-2.011 -1.358 -3.678
3.904 -0.316 -2.018
-0.488 -4.516 4.574
Ca Sb Te
1 2 1
Direct
0.000 0.000 0.000
0.750 0.250 0.500
0.250 0.750 0.500
0.500 0.500 0.000
```

The value obtained for the total energy is -4.2262 eV per atom. The calculation puts the density of states at the Fermi level at 2.3 states/eV/cell. The value obtained for the uncorrected formation energy is -0.533 eV per atom.

=====

No. 12
Material: CaTiSb2Te
Method: DFT, GGA-PBEsol
State: optimized geometry

Structure (POSCAR):
```
CaTiSb2Te
1.0
-2.439 -4.199 1.834
-1.552 -1.197 -4.806
4.523 -2.945 -0.727
Sb Ca Ti Te
2 1 1 1
Direct
0.500 0.000 0.000
0.000 0.500 0.000
0.500 0.500 0.500
0.000 0.000 0.000
0.000 0.000 0.500
```

The value obtained for the total energy is -4.9734 eV per atom. The calculation puts the density of states at the Fermi level at 3.2 states/eV/cell. The value obtained for the uncorrected formation energy is -0.354 eV per atom. The energy above the most stable polymorph in this dataset comes out at 0 meV per atom.

=====

| no. | M_tot (μB/f.u.) |
| --- | --- |
| 1 | 0.000 |
| 2 | 0.907 |
| 3 | 0.005 |
| 4 | 0.000 |
| 5 | 1.631 |
| 6 | 0.000 |
| 7 | 0.001 |
| 8 | 0.000 |
| 9 | 0.000 |
| 10 | 0.000 |
| 11 | 0.000 |
| 12 | 0.000 |